[1]
Computed, not measured: an optimized crystal structure of Dy2Al3Hg3 at the PBE level of DFT.

Cell: 6.291 4.828 6.427 Å, 90.00 117.50 90.00°
Element x y z (fractional)
Al: 0.298 0.500 0.145
Al: 0.141 0.000 0.290
Al: 0.704 0.000 0.865
Dy: 0.658 0.000 0.351
Dy: 0.336 0.500 0.643
Hg: 0.820 0.500 0.168
Hg: 0.846 0.500 0.690
Hg: 0.197 0.000 0.847

Energy above the lowest structure with this stoichiometry = 9.7 meV per atom
Energy = -2.9792 eV per atom
SG = Pm
Size of the total moment = 0.000 μB/atom
Density = 9.67 g cm⁻³

=====

[2]
Computed, not measured: an optimized crystal structure of PaCo3H at the PBE level of DFT.

Cell: 3.824 3.824 3.824 Å, 90.00 90.00 90.00°
Element x y z (fractional)
Co: 0.500 0.000 0.000
Co: 0.000 0.500 0.000
Co: 0.000 0.000 0.500
H: 0.000 0.000 0.000
Pa: 0.500 0.500 0.500

Energy = -7.1287 eV per atom
SG = Pm-3m
Size of the total moment = 0.130 μB/atom
Density = 12.14 g cm⁻³